## Be2Ga2Co5Si (GGA-PBE)

Data for a relaxed structure of Be2Ga2Co5Si.

a = 8.707 Å, b = 8.707 Å, c = 2.808 Å
α = 90.00°, β = 90.00°, γ = 90.00°
Space group P4/mbm (No. 127)
One atom of each set of equivalent atoms:
Be (0.127, 0.373, 0.000)
Ga (0.170, 0.670, 0.000)
Co (0.000, 0.500, 0.500)
Co (0.082, 0.196, 0.500)
Si (0.000, 0.000, 0.000)

Calculated volume   212.89 Å³/cell
DOS(E_F)   0.38 states/eV per atom
ΔE_f (raw)   -0.25 eV per atom

## Na2BeRu (GGA-PBE)

Data for a relaxed structure of Na2BeRu.

a = 9.666 Å, b = 9.666 Å, c = 4.203 Å
α = 90.00°, β = 90.00°, γ = 90.00°
Space group I-42d (No. 122)
One atom of each set of equivalent atoms:
Na (0.117, 0.250, 0.125)
Be (0.000, 0.000, 0.000)
Ru (0.000, 0.000, 0.500)

Calculated volume   392.65 Å³/cell
DOS(E_F)   0.88 states/eV per atom
Energy of formation   0.950 eV per atom

## Pr2GaPdO6 (GGA-PBE)

Data for a relaxed structure of Pr2GaPdO6.

a = 5.554 Å, b = 8.010 Å, c = 5.787 Å
α = 90.00°, β = 90.00°, γ = 90.00°
Space group Pmmn (No. 59, origin choice 2)
One atom of each set of equivalent atoms:
Pr (0.250, 0.026, 0.216)
Ga (0.250, 0.750, 0.751)
Pd (0.250, 0.250, 0.734)
O (0.005, 0.250, 0.000)
O (0.019, 0.250, 0.455)
O (0.250, 0.507, 0.788)

Calculated volume   257.43 Å³/cell
DOS(E_F)   0.20 states/eV per atom
ΔE_f (raw)   -2.05 eV per atom

## Cs2MgB (GGA-PBE)

Data for a relaxed structure of Cs2MgB.

a = 8.904 Å, b = 8.904 Å, c = 8.904 Å
α = 90.00°, β = 90.00°, γ = 90.00°
Space group Fm-3m (No. 225)
One atom of each set of equivalent atoms:
Cs (0.250, 0.250, 0.250)
Mg (0.000, 0.000, 0.000)
B (0.000, 0.000, 0.500)

Calculated volume   705.81 Å³/cell
DOS(E_F)   0.70 states/eV per atom
Energy of formation   1.179 eV per atom

## Ti2Rh (GGA-PBE)

Data for a relaxed structure of Ti2Rh.

a = 3.069 Å, b = 3.069 Å, c = 9.816 Å
α = 90.00°, β = 90.00°, γ = 90.00°
Space group I4/mmm (No. 139)
One atom of each set of equivalent atoms:
Ti (0.000, 0.000, 0.162)
Rh (0.000, 0.000, 0.500)

Calculated volume   92.47 Å³/cell
DOS(E_F)   0.56 states/eV per atom
Energy of formation   -0.626 eV per atom

## Er4S5Cl (GGA-PBE)

Data for a relaxed structure of Er4S5Cl.

a = 8.234 Å, b = 9.391 Å, c = 6.648 Å
α = 90.00°, β = 90.00°, γ = 90.00°
Space group Pmmn (No. 59, origin choice 2)
One atom of each set of equivalent atoms:
Er (0.030, 0.250, 0.035)
Er (0.250, 0.009, 0.514)
S (0.010, 0.550, 0.244)
S (0.250, 0.250, 0.326)
Cl (0.250, 0.750, 0.722)

Calculated volume   514.02 Å³/cell
DOS(E_F)   0.04 states/eV per atom
ΔE_f (raw)   -1.85 eV per atom

## Ac2CeGe6 (GGA-PBE)

Data for a relaxed structure of Ac2CeGe6.

a = 7.7770 Å, b = 7.7770 Å, c = 4.3401 Å
α = 90.00°, β = 90.00°, γ = 120.00°
Space group P6/mmm (No. 191)
One atom of each set of equivalent atoms:
Ac (0.3333, 0.6667, 0.0000)
Ce (0.0000, 0.0000, 0.0000)
Ge (0.0000, 0.3265, 0.5000)

Calculated volume   227.33 Å³/cell
DOS(E_F)   1.14 states/eV per atom
Energy of formation   -0.575 eV per atom

## PmDyAgIr (GGA-PBE)

Data for a relaxed structure of PmDyAgIr.

a = 7.126 Å, b = 7.126 Å, c = 7.126 Å
α = 90.00°, β = 90.00°, γ = 90.00°
Space group F-43m (No. 216)
One atom of each set of equivalent atoms:
Pm (0.000, 0.000, 0.000)
Dy (0.000, 0.000, 0.500)
Ag (0.250, 0.250, 0.250)
Ir (0.250, 0.250, 0.750)

Calculated volume   361.84 Å³/cell
DOS(E_F)   0.72 states/eV per atom
Energy of formation   -0.528 eV per atom

## HoMgSc2 (GGA-PBE)

Data for a relaxed structure of HoMgSc2.

a = 3.373 Å, b = 3.373 Å, c = 9.010 Å
α = 90.00°, β = 90.00°, γ = 90.00°
Space group P4/mmm (No. 123)
One atom of each set of equivalent atoms:
Ho (0.000, 0.000, 0.000)
Mg (0.000, 0.000, 0.500)
Sc (0.500, 0.500, 0.264)

Calculated volume   102.51 Å³/cell
DOS(E_F)   1.39 states/eV per atom
Energy of formation   0.006 eV per atom
Relative energy among the computed polymorphs   0 meV per atom

## Sc2Co2Ni15 (GGA-PBE)

Data for a relaxed structure of Sc2Co2Ni15.

a = 8.1507 Å, b = 8.1507 Å, c = 12.0531 Å
α = 90.00°, β = 90.00°, γ = 120.00°
Space group R-3m (No. 166, hexagonal axes)
One atom of each set of equivalent atoms:
Sc (0.0000, 0.0000, 0.1593)
Co (0.0000, 0.0000, 0.4065)
Ni (0.0000, 0.3044, 0.5000)
Ni (0.0000, 0.5000, 0.0000)
Ni (0.0010, 0.5005, 0.6556)

Calculated volume   693.46 Å³/cell
DOS(E_F)   1.21 states/eV per atom
Energy of formation   -0.149 eV per atom

## Cd2FeSb (GGA-PBE)

Data for a relaxed structure of Cd2FeSb.

a = 3.070 Å, b = 5.618 Å, c = 4.860 Å
α = 90.00°, β = 93.53°, γ = 90.00°
Space group P2/m (No. 10)
One atom of each set of equivalent atoms:
Cd (0.245, 0.000, 0.256)
Fe (0.500, 0.500, 0.500)
Sb (0.000, 0.500, 0.000)

Calculated volume   83.68 Å³/cell
DOS(E_F)   0.87 states/eV per atom
ΔE_f (raw)   0.35 eV per atom

## Ca2AlGa4Cu3 (GGA-PBE)

Data for a relaxed structure of Ca2AlGa4Cu3.

a = 4.117 Å, b = 4.117 Å, c = 10.840 Å
α = 90.00°, β = 90.00°, γ = 90.00°
Space group P-4m2 (No. 115)
One atom of each set of equivalent atoms:
Ca (0.000, 0.500, 0.245)
Al (0.000, 0.000, 0.500)
Ga (0.000, 0.000, 0.000)
Ga (0.000, 0.500, 0.643)
Ga (0.500, 0.500, 0.000)
Cu (0.000, 0.500, 0.867)
Cu (0.500, 0.500, 0.500)

Calculated volume   183.70 Å³/cell
DOS(E_F)   0.46 states/eV per atom
Energy of formation   -0.345 eV per atom

## CsIn3 (GGA-PBE)

Data for a relaxed structure of CsIn3.

a = 7.209 Å, b = 7.209 Å, c = 17.119 Å
α = 90.00°, β = 90.00°, γ = 90.00°
Space group I-4m2 (No. 119)
One atom of each set of equivalent atoms:
Cs (0.000, 0.000, 0.000)
Cs (0.000, 0.500, 0.127)
In (0.000, 0.000, 0.500)
In (0.000, 0.207, 0.779)
In (0.000, 0.303, 0.608)

Calculated volume   889.64 Å³/cell
DOS(E_F)   0.11 states/eV per atom
Energy of formation   -0.140 eV per atom

## LiTm3In2 (GGA-PBE)

Data for a relaxed structure of LiTm3In2.

a = 5.2128 Å, b = 5.2128 Å, c = 12.8149 Å
α = 90.00°, β = 90.00°, γ = 120.00°
Space group P-3m1 (No. 164)
One atom of each set of equivalent atoms:
Li (0.3333, 0.6667, 0.1709)
Tm (0.0000, 0.0000, 0.2496)
Tm (0.3333, 0.6667, 0.4162)
Tm (0.3333, 0.6667, 0.9189)
In (0.0000, 0.0000, 0.0000)
In (0.0000, 0.0000, 0.5000)
In (0.3333, 0.6667, 0.6776)

Calculated volume   301.57 Å³/cell
DOS(E_F)   0.75 states/eV per atom
Energy of formation   -0.315 eV per atom
Relative energy among the computed polymorphs   0 meV per atom

## La3Y3Th (GGA-PBE)

Data for a relaxed structure of La3Y3Th.

a = 8.7927 Å, b = 8.7927 Å, c = 22.5031 Å
α = 90.00°, β = 90.00°, γ = 120.00°
Space group R-3 (No. 148, hexagonal axes)
One atom of each set of equivalent atoms:
La (0.0392, 0.4456, 0.3836)
Y (0.0028, 0.2339, 0.5574)
Th (0.0000, 0.0000, 0.1598)

Calculated volume   1506.68 Å³/cell
DOS(E_F)   1.69 states/eV per atom
Energy of formation   0.233 eV per atom

## Ac2P3PdRh12 (GGA-PBE)

Data for a relaxed structure of Ac2P3PdRh12.

a = 8.5417 Å, b = 8.5417 Å, c = 15.5806 Å
α = 90.00°, β = 90.00°, γ = 120.00°
Space group R-3m (No. 166, hexagonal axes)
One atom of each set of equivalent atoms:
Ac (0.0000, 0.0000, 0.1100)
P (0.0000, 0.5000, 0.0000)
Pd (0.0000, 0.0000, 0.5000)
Rh (0.0044, 0.5022, 0.8592)
Rh (0.0591, 0.5296, 0.3564)

Calculated volume   984.48 Å³/cell
DOS(E_F)   0.90 states/eV per atom
Energy of formation   -0.157 eV per atom

## ScHRh3 (GGA-PBE)

Data for a relaxed structure of ScHRh3.

a = 4.4046 Å, b = 4.4046 Å, c = 7.8616 Å
α = 90.00°, β = 90.00°, γ = 120.00°
Space group P6_3/mmc (No. 194)
One atom of each set of equivalent atoms:
Sc (0.3333, 0.6667, 0.2500)
H (0.0000, 0.0000, 0.0000)
Rh (0.0000, 0.0000, 0.2500)
Rh (0.3333, 0.6667, 0.5755)

Calculated volume   132.09 Å³/cell
DOS(E_F)   0.74 states/eV per atom
Relative energy among the computed polymorphs   460 meV per atom

## Mn3GeIr (GGA-PBE)

Data for a relaxed structure of Mn3GeIr.

a = 6.593 Å, b = 6.593 Å, c = 6.593 Å
α = 90.00°, β = 90.00°, γ = 90.00°
Space group P2_13 (No. 198)
One atom of each set of equivalent atoms:
Mn (0.047, 0.121, 0.794)
Ge (0.061, 0.939, 0.439)
Ir (0.189, 0.189, 0.189)

Calculated volume   286.57 Å³/cell
DOS(E_F)   0.81 states/eV per atom
Energy of formation   -0.032 eV per atom

## Sc3Cd5 (GGA-PBE)

Data for a relaxed structure of Sc3Cd5.

a = 8.7493 Å, b = 8.7493 Å, c = 5.6561 Å
α = 90.00°, β = 90.00°, γ = 120.00°
Space group P6_3/mcm (No. 193)
One atom of each set of equivalent atoms:
Sc (0.0000, 0.3983, 0.2500)
Cd (0.0000, 0.2336, 0.7500)
Cd (0.3333, 0.6667, 0.0000)

Calculated volume   374.94 Å³/cell
DOS(E_F)   1.07 states/eV per atom
Energy of formation   -0.043 eV per atom
Relative energy among the computed polymorphs   207 meV per atom

## Ge6Au (GGA-PBE)

Data for a relaxed structure of Ge6Au.

a = 7.021 Å, b = 7.021 Å, c = 7.021 Å
α = 90.00°, β = 90.00°, γ = 90.00°
Space group Im-3m (No. 229)
One atom of each set of equivalent atoms:
Ge (0.000, 0.250, 0.500)
Au (0.000, 0.000, 0.000)

Calculated volume   346.03 Å³/cell
DOS(E_F)   0.48 states/eV per atom
Energy of formation   0.372 eV per atom

## AgC3 (GGA-PBE)

Data for a relaxed structure of AgC3.

a = 4.285 Å, b = 4.285 Å, c = 4.285 Å
α = 90.00°, β = 90.00°, γ = 90.00°
Space group Pm-3m (No. 221)
One atom of each set of equivalent atoms:
Ag (0.000, 0.000, 0.000)
C (0.000, 0.000, 0.500)

Calculated volume   78.70 Å³/cell
DOS(E_F)   1.02 states/eV per atom
Energy of formation   4.368 eV per atom
Relative energy among the computed polymorphs   3409 meV per atom